No. 1
# TaCo2BiSe, relaxed, DFT PBE-GGA
# VASP energy (eV per atom): -4.79
data_TaCo2BiSe
_cell_length_a 4.600
_cell_length_b 4.600
_cell_length_c 5.429
_cell_angle_alpha 90.00
_cell_angle_beta 90.00
_cell_angle_gamma 90.00
_symmetry_space_group_name_H-M 'P 4/m m m'
_symmetry_Int_Tables_number 123
_symmetry_space_group_name_Hall '-P 4 2'
loop_
_atom_site_label
_atom_site_type_symbol
_atom_site_fract_x
_atom_site_fract_y
_atom_site_fract_z
Ta1 Ta 0.000 0.000 0.000
Co1 Co 0.000 0.500 0.500
Bi1 Bi 0.500 0.500 0.500
Se1 Se 0.500 0.500 0.000

No. 2
# YP3Pb, relaxed, DFT PBE-GGA
# ΔH_f (0 K) (meV/atom): 414
# E above lowest polymorph (eV/atom): 0.000
data_YP3Pb
_cell_length_a 5.242
_cell_length_b 5.242
_cell_length_c 5.242
_cell_angle_alpha 90.00
_cell_angle_beta 90.00
_cell_angle_gamma 90.00
_symmetry_space_group_name_H-M 'P m -3 m'
_symmetry_Int_Tables_number 221
_symmetry_space_group_name_Hall '-P 4 2 3'
loop_
_atom_site_label
_atom_site_type_symbol
_atom_site_fract_x
_atom_site_fract_y
_atom_site_fract_z
Y1 Y 0.000 0.000 0.000
P1 P 0.000 0.000 0.500
Pb1 Pb 0.500 0.500 0.500

No. 3
# Ti3SbS6, relaxed, DFT PBE-GGA
# VASP energy (eV per atom): -6.25
data_Ti3SbS6
_cell_length_a 10.676
_cell_length_b 3.538
_cell_length_c 11.182
_cell_angle_alpha 90.00
_cell_angle_beta 115.60
_cell_angle_gamma 90.00
_symmetry_space_group_name_H-M 'P 1 21/m 1'
_symmetry_Int_Tables_number 11
_symmetry_space_group_name_Hall '-P 2yb'
loop_
_atom_site_label
_atom_site_type_symbol
_atom_site_fract_x
_atom_site_fract_y
_atom_site_fract_z
Ti1 Ti 0.064 0.250 0.306
Ti2 Ti 0.355 0.750 0.440
Ti3 Ti 0.396 0.250 0.821
Sb1 Sb 0.206 0.750 0.012
S1 S 0.010 0.250 0.880
S2 S 0.128 0.750 0.460
S3 S 0.219 0.750 0.779
S4 S 0.262 0.250 0.269
S5 S 0.424 0.250 0.061
S6 S 0.442 0.250 0.614

No. 4
# KNa2NpO6, relaxed, DFT PBE-GGA
# VASP energy (eV per atom): -6.47
data_KNa2NpO6
_cell_length_a 6.013
_cell_length_b 6.281
_cell_length_c 10.280
_cell_angle_alpha 90.00
_cell_angle_beta 125.72
_cell_angle_gamma 90.00
_symmetry_space_group_name_H-M 'P 1 21/c 1'
_symmetry_Int_Tables_number 14
_symmetry_space_group_name_Hall '-P 2ybc'
loop_
_atom_site_label
_atom_site_type_symbol
_atom_site_fract_x
_atom_site_fract_y
_atom_site_fract_z
K1 K 0.000 0.000 0.000
Na1 Na 0.216 0.003 0.717
Np1 Np 0.500 0.000 0.500
O1 O 0.200 0.687 0.843
O2 O 0.214 0.152 0.498
O3 O 0.475 0.175 0.334

No. 5
# K3TlZn4Br12, relaxed, DFT PBE-GGA
# VASP energy (eV per atom): -2.64
data_K3TlZn4Br12
_cell_length_a 15.4731
_cell_length_b 15.4731
_cell_length_c 12.6824
_cell_angle_alpha 90.00
_cell_angle_beta 90.00
_cell_angle_gamma 120.00
_symmetry_space_group_name_H-M 'R 3 2'
_symmetry_Int_Tables_number 155
_symmetry_space_group_name_Hall 'R 3 2"'
loop_
_atom_site_label
_atom_site_type_symbol
_atom_site_fract_x
_atom_site_fract_y
_atom_site_fract_z
K1 K 0.0000 0.5295 0.0000
Tl1 Tl 0.0000 0.0000 0.0000
Zn1 Zn 0.0000 0.0000 0.5000
Zn2 Zn 0.0000 0.4627 0.5000
Br1 Br 0.0000 0.6142 0.5000
Br2 Br 0.0000 0.8490 0.5000
Br3 Br 0.0189 0.1969 0.1600

No. 6
# NiAg2Ir, relaxed, DFT PBE-GGA
# ΔH_f (0 K) (meV/atom): 494
# E above lowest polymorph (eV/atom): 0.290
data_NiAg2Ir
_cell_length_a 6.277
_cell_length_b 6.277
_cell_length_c 6.277
_cell_angle_alpha 90.00
_cell_angle_beta 90.00
_cell_angle_gamma 90.00
_symmetry_space_group_name_H-M 'F -4 3 m'
_symmetry_Int_Tables_number 216
_symmetry_space_group_name_Hall 'F -4 2 3'
loop_
_atom_site_label
_atom_site_type_symbol
_atom_site_fract_x
_atom_site_fract_y
_atom_site_fract_z
Ni1 Ni 0.000 0.000 0.000
Ag1 Ag 0.000 0.000 0.500
Ag2 Ag 0.250 0.250 0.750
Ir1 Ir 0.250 0.250 0.250

No. 7
# MnBe2In, relaxed, DFT PBE-GGA
# ΔH_f (0 K) (meV/atom): 309
data_MnBe2In
_cell_length_a 8.303
_cell_length_b 2.877
_cell_length_c 4.574
_cell_angle_alpha 90.00
_cell_angle_beta 104.04
_cell_angle_gamma 90.00
_symmetry_space_group_name_H-M 'C 1 2/m 1'
_symmetry_Int_Tables_number 12
_symmetry_space_group_name_Hall '-C 2y'
loop_
_atom_site_label
_atom_site_type_symbol
_atom_site_fract_x
_atom_site_fract_y
_atom_site_fract_z
Mn1 Mn 0.000 0.000 0.000
Be1 Be 0.223 0.500 0.145
In1 In 0.000 0.500 0.500

No. 8
# NbTeP, relaxed, DFT PBE-GGA
# VASP energy (eV per atom): -6.44
data_NbTeP
_cell_length_a 5.083
_cell_length_b 4.627
_cell_length_c 5.348
_cell_angle_alpha 90.00
_cell_angle_beta 106.77
_cell_angle_gamma 90.00
_symmetry_space_group_name_H-M 'C 1 m 1'
_symmetry_Int_Tables_number 8
_symmetry_space_group_name_Hall 'C -2y'
loop_
_atom_site_label
_atom_site_type_symbol
_atom_site_fract_x
_atom_site_fract_y
_atom_site_fract_z
Nb1 Nb 0.000 0.000 0.000
Te1 Te 0.226 0.500 0.377
P1 P 0.443 0.000 0.809

No. 9
# CdCoRh2, relaxed, DFT PBE-GGA
# ΔH_f (0 K) (meV/atom): 188
# E above lowest polymorph (eV/atom): 0.160
data_CdCoRh2
_cell_length_a 2.921
_cell_length_b 4.530
_cell_length_c 9.097
_cell_angle_alpha 90.00
_cell_angle_beta 90.00
_cell_angle_gamma 90.00
_symmetry_space_group_name_H-M 'I m m 2'
_symmetry_Int_Tables_number 44
_symmetry_space_group_name_Hall 'I 2 -2'
loop_
_atom_site_label
_atom_site_type_symbol
_atom_site_fract_x
_atom_site_fract_y
_atom_site_fract_z
Cd1 Cd 0.000 0.000 0.000
Co1 Co 0.000 0.500 0.753
Rh1 Rh 0.000 0.000 0.477
Rh2 Rh 0.000 0.500 0.231

No. 10
# LiTcAg2, relaxed, DFT PBE-GGA
# ΔH_f (0 K) (meV/atom): 312
# E above lowest polymorph (eV/atom): 0.074
data_LiTcAg2
_cell_length_a 9.637
_cell_length_b 2.664
_cell_length_c 5.068
_cell_angle_alpha 90.00
_cell_angle_beta 97.19
_cell_angle_gamma 90.00
_symmetry_space_group_name_H-M 'C 1 m 1'
_symmetry_Int_Tables_number 8
_symmetry_space_group_name_Hall 'C -2y'
loop_
_atom_site_label
_atom_site_type_symbol
_atom_site_fract_x
_atom_site_fract_y
_atom_site_fract_z
Li1 Li 0.000 0.000 0.000
Tc1 Tc 0.252 0.500 0.276
Ag1 Ag 0.249 0.000 0.781
Ag2 Ag 0.499 0.000 0.488

No. 11
# Ca2ScCd2Pd5, relaxed, DFT PBE-GGA
# ΔH_f (0 K) (meV/atom): -567
data_Ca2ScCd2Pd5
_cell_length_a 10.464
_cell_length_b 10.464
_cell_length_c 3.730
_cell_angle_alpha 90.00
_cell_angle_beta 90.00
_cell_angle_gamma 90.00
_symmetry_space_group_name_H-M 'P 4/m b m'
_symmetry_Int_Tables_number 127
_symmetry_space_group_name_Hall '-P 4 2ab'
loop_
_atom_site_label
_atom_site_type_symbol
_atom_site_fract_x
_atom_site_fract_y
_atom_site_fract_z
Ca1 Ca 0.169 0.331 0.000
Sc1 Sc 0.000 0.000 0.000
Cd1 Cd 0.132 0.632 0.000
Pd1 Pd 0.000 0.500 0.500
Pd2 Pd 0.055 0.809 0.500

No. 12
# AgHg2Ir, relaxed, DFT PBE-GGA
# ΔH_f (0 K) (meV/atom): 434
# E above lowest polymorph (eV/atom): 0.097
data_AgHg2Ir
_cell_length_a 2.985
_cell_length_b 5.087
_cell_length_c 10.117
_cell_angle_alpha 90.00
_cell_angle_beta 90.00
_cell_angle_gamma 90.00
_symmetry_space_group_name_H-M 'C m m 2'
_symmetry_Int_Tables_number 35
_symmetry_space_group_name_Hall 'C 2 -2'
loop_
_atom_site_label
_atom_site_type_symbol
_atom_site_fract_x
_atom_site_fract_y
_atom_site_fract_z
Ag1 Ag 0.000 0.000 0.000
Hg1 Hg 0.000 0.000 0.467
Hg2 Hg 0.000 0.500 0.747
Ir1 Ir 0.000 0.500 0.229

No. 13
# NaNpBeO5, relaxed, DFT PBE-GGA
# VASP energy (eV per atom): -7.76
data_NaNpBeO5
_cell_length_a 6.893
_cell_length_b 8.734
_cell_length_c 7.748
_cell_angle_alpha 90.00
_cell_angle_beta 115.64
_cell_angle_gamma 90.00
_symmetry_space_group_name_H-M 'C 1 2/c 1'
_symmetry_Int_Tables_number 15
_symmetry_space_group_name_Hall '-C 2yc'
loop_
_atom_site_label
_atom_site_type_symbol
_atom_site_fract_x
_atom_site_fract_y
_atom_site_fract_z
Na1 Na 0.000 0.094 0.250
Np1 Np 0.250 0.250 0.000
Be1 Be 0.000 0.438 0.250
O1 O 0.000 0.162 0.750
O2 O 0.049 0.319 0.106
O3 O 0.214 0.453 0.873

No. 14
# Zr2TaPt2, relaxed, DFT PBE-GGA
# ΔH_f (0 K) (meV/atom): -426
# E above lowest polymorph (eV/atom): 0.224
data_Zr2TaPt2
_cell_length_a 7.799
_cell_length_b 7.799
_cell_length_c 3.187
_cell_angle_alpha 90.00
_cell_angle_beta 90.00
_cell_angle_gamma 90.00
_symmetry_space_group_name_H-M 'P 4/m b m'
_symmetry_Int_Tables_number 127
_symmetry_space_group_name_Hall '-P 4 2ab'
loop_
_atom_site_label
_atom_site_type_symbol
_atom_site_fract_x
_atom_site_fract_y
_atom_site_fract_z
Zr1 Zr 0.162 0.338 0.000
Ta1 Ta 0.000 0.000 0.000
Pt1 Pt 0.137 0.637 0.500

No. 15
# Dy4AsAuS2, relaxed, DFT PBE-GGA
# VASP energy (eV per atom): -5.87
data_Dy4AsAuS2
_cell_length_a 6.918
_cell_length_b 3.979
_cell_length_c 7.105
_cell_angle_alpha 90.00
_cell_angle_beta 108.59
_cell_angle_gamma 90.00
_symmetry_space_group_name_H-M 'P 1 2/m 1'
_symmetry_Int_Tables_number 10
_symmetry_space_group_name_Hall '-P 2y'
loop_
_atom_site_label
_atom_site_type_symbol
_atom_site_fract_x
_atom_site_fract_y
_atom_site_fract_z
Dy1 Dy 0.242 0.000 0.235
Dy2 Dy 0.247 0.500 0.759
As1 As 0.000 0.000 0.500
Au1 Au 0.500 0.500 0.500
S1 S 0.000 0.500 0.000
S2 S 0.500 0.000 0.000

No. 16
# Sm3Y8Ho, relaxed, DFT PBE-GGA
# ΔH_f (0 K) (meV/atom): 642
data_Sm3Y8Ho
_cell_length_a 8.751
_cell_length_b 8.751
_cell_length_c 11.412
_cell_angle_alpha 90.00
_cell_angle_beta 90.00
_cell_angle_gamma 90.00
_symmetry_space_group_name_H-M 'I -4 2 m'
_symmetry_Int_Tables_number 121
_symmetry_space_group_name_Hall 'I -4 2'
loop_
_atom_site_label
_atom_site_type_symbol
_atom_site_fract_x
_atom_site_fract_y
_atom_site_fract_z
Sm1 Sm 0.000 0.000 0.000
Sm2 Sm 0.000 0.500 0.250
Y1 Y 0.126 0.126 0.254
Y2 Y 0.245 0.245 0.509
Ho1 Ho 0.000 0.000 0.500

No. 17
# AcErS2, relaxed, DFT PBE-GGA
# E above lowest polymorph (eV/atom): 0.000
data_AcErS2
_cell_length_a 3.9852
_cell_length_b 3.9852
_cell_length_c 21.0532
_cell_angle_alpha 90.00
_cell_angle_beta 90.00
_cell_angle_gamma 120.00
_symmetry_space_group_name_H-M 'R -3 m'
_symmetry_Int_Tables_number 166
_symmetry_space_group_name_Hall '-R 3 2"'
loop_
_atom_site_label
_atom_site_type_symbol
_atom_site_fract_x
_atom_site_fract_y
_atom_site_fract_z
Ac1 Ac 0.0000 0.0000 0.0000
Er1 Er 0.0000 0.0000 0.5000
S1 S 0.0000 0.0000 0.2377

No. 18
# ScPtS2, relaxed, DFT PBE-GGA
# E above lowest polymorph (eV/atom): 0.287
data_ScPtS2
_cell_length_a 6.373
_cell_length_b 6.373
_cell_length_c 6.373
_cell_angle_alpha 90.00
_cell_angle_beta 90.00
_cell_angle_gamma 90.00
_symmetry_space_group_name_H-M 'F m -3 m'
_symmetry_Int_Tables_number 225
_symmetry_space_group_name_Hall '-F 4 2 3'
loop_
_atom_site_label
_atom_site_type_symbol
_atom_site_fract_x
_atom_site_fract_y
_atom_site_fract_z
Sc1 Sc 0.000 0.000 0.000
Pt1 Pt 0.000 0.000 0.500
S1 S 0.250 0.250 0.250

No. 19
# CaTl6Cl8, relaxed, DFT PBE-GGA
# VASP energy (eV per atom): -3.25
data_CaTl6Cl8
_cell_length_a 12.9209
_cell_length_b 12.9209
_cell_length_c 10.7148
_cell_angle_alpha 90.00
_cell_angle_beta 90.00
_cell_angle_gamma 120.00
_symmetry_space_group_name_H-M 'R -3'
_symmetry_Int_Tables_number 148
_symmetry_space_group_name_Hall '-R 3'
loop_
_atom_site_label
_atom_site_type_symbol
_atom_site_fract_x
_atom_site_fract_y
_atom_site_fract_z
Ca1 Ca 0.0000 0.0000 0.0000
Tl1 Tl 0.0006 0.7647 0.3302
Cl1 Cl 0.0000 0.0000 0.2604
Cl2 Cl 0.0686 0.4872 0.7569

No. 20
# Nd8Dy5Cd, relaxed, DFT PBE-GGA
# ΔH_f (0 K) (meV/atom): 156
data_Nd8Dy5Cd
_cell_length_a 10.570
_cell_length_b 10.829
_cell_length_c 8.461
_cell_angle_alpha 90.00
_cell_angle_beta 90.00
_cell_angle_gamma 90.00
_symmetry_space_group_name_H-M 'I m m 2'
_symmetry_Int_Tables_number 44
_symmetry_space_group_name_Hall 'I 2 -2'
loop_
_atom_site_label
_atom_site_type_symbol
_atom_site_fract_x
_atom_site_fract_y
_atom_site_fract_z
Nd1 Nd 0.000 0.159 0.000
Nd2 Nd 0.162 0.000 0.352
Nd3 Nd 0.190 0.226 0.675
Dy1 Dy 0.000 0.316 0.316
Dy2 Dy 0.000 0.500 0.868
Dy3 Dy 0.195 0.500 0.499
Cd1 Cd 0.000 0.000 0.680

No. 21
# Mg2InCl, relaxed, DFT PBE-GGA
# E above lowest polymorph (eV/atom): 0.264
data_Mg2InCl
_cell_length_a 3.201
_cell_length_b 5.254
_cell_length_c 5.774
_cell_angle_alpha 90.00
_cell_angle_beta 90.00
_cell_angle_gamma 90.00
_symmetry_space_group_name_H-M 'P m m m'
_symmetry_Int_Tables_number 47
_symmetry_space_group_name_Hall '-P 2 2'
loop_
_atom_site_label
_atom_site_type_symbol
_atom_site_fract_x
_atom_site_fract_y
_atom_site_fract_z
Mg1 Mg 0.000 0.000 0.000
Mg2 Mg 0.500 0.000 0.500
In1 In 0.000 0.500 0.500
Cl1 Cl 0.500 0.500 0.000

No. 22
# Ba2CdTc, relaxed, DFT PBE-GGA
# ΔH_f (0 K) (meV/atom): 677
# E above lowest polymorph (eV/atom): 0.228
data_Ba2CdTc
_cell_length_a 7.814
_cell_length_b 7.814
_cell_length_c 7.814
_cell_angle_alpha 90.00
_cell_angle_beta 90.00
_cell_angle_gamma 90.00
_symmetry_space_group_name_H-M 'F -4 3 m'
_symmetry_Int_Tables_number 216
_symmetry_space_group_name_Hall 'F -4 2 3'
loop_
_atom_site_label
_atom_site_type_symbol
_atom_site_fract_x
_atom_site_fract_y
_atom_site_fract_z
Ba1 Ba 0.000 0.000 0.000
Ba2 Ba 0.250 0.250 0.250
Cd1 Cd 0.000 0.000 0.500
Tc1 Tc 0.250 0.250 0.750

No. 23
# Ta2MnMoN, relaxed, DFT PBE-GGA
# VASP energy (eV per atom): -10.77
data_Ta2MnMoN
_cell_length_a 4.396
_cell_length_b 4.396
_cell_length_c 3.578
_cell_angle_alpha 90.00
_cell_angle_beta 90.00
_cell_angle_gamma 90.00
_symmetry_space_group_name_H-M 'P 4/m m m'
_symmetry_Int_Tables_number 123
_symmetry_space_group_name_Hall '-P 4 2'
loop_
_atom_site_label
_atom_site_type_symbol
_atom_site_fract_x
_atom_site_fract_y
_atom_site_fract_z
Ta1 Ta 0.000 0.500 0.000
Mn1 Mn 0.000 0.000 0.500
Mo1 Mo 0.500 0.500 0.500
N1 N 0.000 0.000 0.000